Record 1
## TcPtAu2 (GGA-PBE)

Data for an optimized crystal structure of TcPtAu2.

Cell: 2.841 2.841 8.198 Å, 90.00 90.00 90.00°
Atoms (fractional coordinates):
Au 0.500 0.500 0.257
Tc 0.500 0.500 0.735
Pt 0.000 0.000 0.521
Au 0.000 0.000 0.987

Summary:
Magnetic moment in Bohr magnetons per cell: 0.00
Uncorrected energy in eV per atom: -5.6848

---

Record 2
## Tc2PtAu (GGA-PBE)

Data for an optimized crystal structure of Tc2PtAu.

Cell: 4.475 4.475 4.475 Å, 60.00 60.00 60.00°
Atoms (fractional coordinates):
Pt 0.000 0.000 0.000
Tc 0.750 0.750 0.750
Au 0.500 0.500 0.500
Tc 0.250 0.250 0.250

Summary:
Magnetic moment in Bohr magnetons per cell: 0.00
Uncorrected energy in eV per atom: -7.0147